# BaSm2WO8 GGA+U optimized geometry
data_BaSm2WO8
_symmetry_space_group_name_H-M 'P -1'
_symmetry_Int_Tables_number 2
_symmetry_space_group_name_Hall '-P 1'
_cell_length_a 4.4039
_cell_length_b 5.4366
_cell_length_c 7.3796
_cell_angle_alpha 89.97
_cell_angle_beta 72.88
_cell_angle_gamma 88.89
loop_
_atom_site_label
_atom_site_type_symbol
_atom_site_fract_x
_atom_site_fract_y
_atom_site_fract_z
_atom_site_occupancy
Ba1 Ba 0.0000 0.0000 0.0000 1
Sm1 Sm 0.3111 0.4834 0.3135 1
W1 W 0.5000 0.0000 0.5000 1
O1 O 0.1918 0.2522 0.6274 1
O2 O 0.2179 0.7210 0.5979 1
O3 O 0.3315 0.5002 0.9920 1
O4 O 0.3852 0.0343 0.2646 1
# DOS at the Fermi energy (states/eV/atom): 0.00
# Raw total energy (eV/f.u.): -89.2
# Volume (Å³ per cell): 169
# ρ (Mg/m³): 7.4